Density functional theory data (PBE) for crystalline ScRe2H2 at its relaxed geometry.

Geometry as POSCAR:
```
ScRe2H2
1.0
5.402 0.000 0.000
0.000 5.402 0.000
0.000 0.000 4.012
Sc Re H
2 4 4
Direct
0.000 0.000 0.000
0.500 0.500 0.000
0.162 0.338 0.500
0.338 0.838 0.500
0.662 0.162 0.500
0.838 0.662 0.500
0.156 0.344 0.000
0.344 0.844 0.000
0.656 0.156 0.000
0.844 0.656 0.000
```

Calculated values
Distance to the lowest polymorph of the same formula = 0.000 eV per atom

Density functional theory data (PBE) for crystalline LaNbRh at its relaxed geometry.

Geometry as POSCAR:
```
LaNbRh
1.0
2.903 0.000 0.000
0.000 4.816 0.000
0.000 0.000 8.324
La Nb Rh
2 2 2
Direct
0.000 0.000 0.000
0.000 0.500 0.500
0.000 0.000 0.334
0.000 0.500 0.834
0.500 0.000 0.666
0.500 0.500 0.166
```

Calculated values
E_form = 0.2071 eV per atom

Density functional theory data (PBE) for crystalline ZrAgOsO6 at its relaxed geometry.

Geometry as POSCAR:
```
ZrAgOsO6
1.0
5.386 0.000 0.000
-2.693 4.664 0.000
0.000 0.000 4.864
Zr Ag Os O
1 1 1 6
Direct
0.000 0.000 0.000
0.667 0.333 0.500
0.333 0.667 0.000
0.053 0.360 0.223
0.053 0.692 0.777
0.308 0.360 0.777
0.308 0.947 0.223
0.640 0.692 0.223
0.640 0.947 0.777
```

Calculated values
Formation energy from raw total energies = -1470.2 meV per atom

Density functional theory data (PBE) for crystalline La5CdRu at its relaxed geometry.

Geometry as POSCAR:
```
La5CdRu
1.0
5.076 0.000 0.000
0.000 5.076 0.000
0.000 0.000 8.401
La Cd Ru
5 1 1
Direct
0.000 0.000 0.000
0.000 0.500 0.303
0.000 0.500 0.697
0.500 0.000 0.303
0.500 0.000 0.697
0.500 0.500 0.000
0.000 0.000 0.500
```

Calculated values
E_form = -0.1442 eV per atom
Distance to the lowest polymorph of the same formula = 0.014 eV per atom

Density functional theory data (PBE) for crystalline La4Cd3Au at its relaxed geometry.

Geometry as POSCAR:
```
La4Cd3Au
1.0
3.902 0.000 0.000
0.000 3.902 0.000
0.000 0.000 15.545
La Cd Au
4 3 1
Direct
0.000 0.000 0.113
0.000 0.000 0.372
0.000 0.000 0.628
0.000 0.000 0.887
0.500 0.500 0.247
0.500 0.500 0.500
0.500 0.500 0.753
0.500 0.500 0.000
```

Calculated values
E_form = -0.4426 eV per atom

Density functional theory data (PBE) for crystalline Ba3Pr2SmSe6 at its relaxed geometry.

Geometry as POSCAR:
```
Ba3Pr2SmSe6
1.0
3.811 -6.593 0.000
3.811 6.593 0.000
-2.541 0.000 7.442
Ba Pr Sm Se
3 2 1 6
Direct
0.000 0.000 0.000
0.332 0.668 0.000
0.668 0.332 0.000
0.166 0.834 0.500
0.834 0.166 0.500
0.500 0.500 0.500
0.098 0.426 0.278
0.246 0.246 0.724
0.426 0.098 0.278
0.574 0.902 0.722
0.754 0.754 0.276
0.902 0.574 0.722
```

Calculated values
Formation energy from raw total energies = -1915.5 meV per atom

Density functional theory data (PBE) for crystalline Hf11Zr3 at its relaxed geometry.

Geometry as POSCAR:
```
Hf11Zr3
1.0
-2.470 4.732 6.853
2.470 -4.732 6.853
2.470 4.732 -6.853
Hf Zr
11 3
Direct
0.000 0.000 0.000
0.118 0.276 0.842
0.187 0.687 0.500
0.235 0.898 0.337
0.434 0.276 0.158
0.438 0.102 0.337
0.562 0.898 0.663
0.566 0.724 0.842
0.765 0.102 0.663
0.813 0.313 0.500
0.882 0.724 0.158
0.184 0.500 0.684
0.500 0.500 0.000
0.816 0.500 0.316
```

Calculated values
E_form = 0.1428 eV per atom

Density functional theory data (PBE) for crystalline MgMo2Rh2 at its relaxed geometry.

Geometry as POSCAR:
```
MgMo2Rh2
1.0
7.642 0.000 0.000
0.000 7.642 0.000
0.000 0.000 2.800
Mg Mo Rh
2 4 4
Direct
0.000 0.000 0.000
0.500 0.500 0.000
0.168 0.332 0.500
0.332 0.832 0.500
0.668 0.168 0.500
0.832 0.668 0.500
0.126 0.626 0.000
0.374 0.126 0.000
0.626 0.874 0.000
0.874 0.374 0.000
```

Calculated values
E_form = -0.0181 eV per atom
Distance to the lowest polymorph of the same formula = 0.014 eV per atom

Density functional theory data (PBE) for crystalline Nd12DyTl7 at its relaxed geometry.

Geometry as POSCAR:
```
Nd12DyTl7
1.0
6.939 4.007 4.077
-6.939 4.007 4.077
0.000 -8.013 4.077
Nd Dy Tl
12 1 7
Direct
0.125 0.441 0.379
0.182 0.319 0.721
0.279 0.818 0.681
0.319 0.721 0.182
0.379 0.125 0.441
0.441 0.379 0.125
0.559 0.621 0.875
0.621 0.875 0.559
0.681 0.279 0.818
0.721 0.182 0.319
0.818 0.681 0.279
0.875 0.559 0.621
0.000 0.000 0.000
0.020 0.041 0.352
0.041 0.352 0.020
0.352 0.020 0.041
0.500 0.500 0.500
0.648 0.980 0.959
0.959 0.648 0.980
0.980 0.959 0.648
```

Calculated values
E_form = -0.0362 eV per atom

Density functional theory data (PBE) for crystalline Rb4Nd3SbSe8 at its relaxed geometry.

Geometry as POSCAR:
```
Rb4Nd3SbSe8
1.0
4.361 2.518 8.002
-4.361 2.518 8.002
0.000 -5.036 8.002
Rb Nd Sb Se
4 3 1 8
Direct
0.000 0.000 0.000
0.000 0.500 0.500
0.500 0.000 0.500
0.500 0.500 0.000
0.000 0.000 0.500
0.000 0.500 0.000
0.500 0.000 0.000
0.500 0.500 0.500
0.234 0.234 0.234
0.238 0.730 0.730
0.270 0.270 0.762
0.270 0.762 0.270
0.730 0.238 0.730
0.730 0.730 0.238
0.762 0.270 0.270
0.766 0.766 0.766
```

Calculated values
Formation energy from raw total energies = -1467.4 meV per atom

Density functional theory data (PBE) for crystalline BiAsP2Cl at its relaxed geometry.

Geometry as POSCAR:
```
BiAsP2Cl
1.0
5.338 0.000 0.000
0.000 5.338 0.000
0.000 0.000 5.112
Bi As P Cl
1 1 2 1
Direct
0.000 0.000 0.000
0.500 0.500 0.500
0.000 0.500 0.000
0.500 0.000 0.000
0.000 0.000 0.500
```

Calculated values
Formation energy from raw total energies = 1065.5 meV per atom
Distance to the lowest polymorph of the same formula = 0.575 eV per atom

Density functional theory data (PBE) for crystalline ReHg2 at its relaxed geometry.

Geometry as POSCAR:
```
ReHg2
1.0
6.533 0.000 0.000
0.000 6.533 0.000
0.000 0.000 6.533
Re Hg
4 8
Direct
0.000 0.000 0.000
0.000 0.500 0.500
0.500 0.000 0.500
0.500 0.500 0.000
0.250 0.250 0.250
0.250 0.250 0.750
0.250 0.750 0.250
0.250 0.750 0.750
0.750 0.250 0.250
0.750 0.250 0.750
0.750 0.750 0.250
0.750 0.750 0.750
```

Calculated values
E_form = 1.2656 eV per atom
Distance to the lowest polymorph of the same formula = 0.714 eV per atom

Going through the records in order, we get raw total energy values of -73.74, -43.45, -65.61, -35.84, -29.27, -63.94, -133.13, -76.10, -79.10, -73.65, -15.87, -37.02 eV/cell.